[1]
# La8Zn2Hg | the Alexandria database | PBE | optimized geometry
# - Total magnetization: 0.00 μB per cell
# - ρ: 6.87 Mg/m³
# - Calculated volume: 349 Å³ per cell
# - Final energy: -4.02 eV per atom
# - E_form: -0.1806 eV per atom
# - Offset from the most stable computed form: 0 meV/atom
# - DOS(E_F): 11.9 states/eV/cell
data_La8Zn2Hg
_space_group_name_H-M_alt 'P 1'
_space_group_IT_number 1
_space_group_name_Hall 'P 1'
_cell_length_a 5.1532
_cell_length_b 7.8500
_cell_length_c 9.6150
_cell_angle_alpha 110.69
_cell_angle_beta 105.54
_cell_angle_gamma 90.00
loop_
_atom_site_label
_atom_site_fract_x
_atom_site_fract_y
_atom_site_fract_z
_atom_site_occupancy
La1 0.0285 0.7633 0.0570 1
La2 0.1938 0.3024 0.3876 1
La3 0.5871 0.4620 0.1742 1
Zn1 0.1809 0.6818 0.3618 1
La4 0.4129 0.5380 0.8258 1
La5 0.9715 0.2367 0.9430 1
La6 0.3257 0.0252 0.6515 1
La7 0.6743 0.9748 0.3485 1
Hg1 0.5000 0.0000 0.0000 1
La8 0.8062 0.6976 0.6124 1
Zn2 0.8191 0.3182 0.6382 1

[2]
# Sm2Pu3USe6 | the Alexandria database | PBE | optimized geometry
# - Total magnetization: 10.09 μB per cell
# - ρ: 9.32 Mg/m³
# - Formation energy without anion corrections: -1.185 eV per atom
# - Calculated volume: 311 Å³ per cell
# - Final energy: -8.24 eV per atom
# - DOS(E_F): 26.2 states/eV/cell
data_Sm2Pu3USe6
_space_group_name_H-M_alt 'P 1'
_space_group_IT_number 1
_space_group_name_Hall 'P 1'
_cell_length_a 3.9984
_cell_length_b 8.0802
_cell_length_c 9.8246
_cell_angle_alpha 90.57
_cell_angle_beta 101.74
_cell_angle_gamma 90.00
loop_
_atom_site_label
_atom_site_fract_x
_atom_site_fract_y
_atom_site_fract_z
_atom_site_occupancy
Se1 0.1597 0.4912 0.3194 1
Se2 0.8403 0.5088 0.6806 1
Se3 0.0015 0.7516 0.0030 1
Pu1 0.6267 0.2259 0.2533 1
Sm1 0.2869 0.2636 0.5738 1
Pu2 0.3733 0.7741 0.7467 1
Se4 0.1673 0.9855 0.3347 1
U1 0.5000 0.0000 0.0000 1
Sm2 0.7131 0.7364 0.4262 1
Se5 0.8327 0.0145 0.6653 1
Pu3 0.5000 0.5000 0.0000 1
Se6 0.9985 0.2484 0.9970 1

[3]
# U2GaB2Ru5 | the Alexandria database | PBE | optimized geometry
# - Total magnetization: 3.50 μB per cell
# - ρ: 12.53 Mg/m³
# - Calculated volume: 284 Å³ per cell
# - Final energy: -9.03 eV per atom
# - E_form: -0.4985 eV per atom
# - DOS(E_F): 12.7 states/eV/cell
data_U2GaB2Ru5
_space_group_name_H-M_alt 'P 1'
_space_group_IT_number 1
_space_group_name_Hall 'P 1'
_cell_length_a 3.1277
_cell_length_b 9.5352
_cell_length_c 9.5352
_cell_angle_alpha 90.00
_cell_angle_beta 90.00
_cell_angle_gamma 90.00
loop_
_atom_site_label
_atom_site_fract_x
_atom_site_fract_y
_atom_site_fract_z
_atom_site_occupancy
B1 0.0000 0.1224 0.6224 1
Ru1 0.5000 0.0000 0.5000 1
Ga1 0.0000 0.0000 0.0000 1
Ru2 0.5000 0.7818 0.9286 1
B2 0.0000 0.6224 0.8776 1
U1 0.0000 0.3235 0.8235 1
Ga2 0.0000 0.5000 0.5000 1
B3 0.0000 0.3776 0.1224 1
Ru3 0.5000 0.5000 0.0000 1
Ru4 0.5000 0.2818 0.5714 1
Ru5 0.5000 0.7182 0.4286 1
U2 0.0000 0.1765 0.3235 1
Ru6 0.5000 0.9286 0.2182 1
Ru7 0.5000 0.0714 0.7818 1
U3 0.0000 0.6765 0.1765 1
U4 0.0000 0.8235 0.6765 1
B4 0.0000 0.8776 0.3776 1
Ru8 0.5000 0.5714 0.7182 1
Ru9 0.5000 0.2182 0.0714 1
Ru10 0.5000 0.4286 0.2818 1

[4]
# LaTa2Se | the Alexandria database | PBE | optimized geometry
# - Total magnetization: 0.00 μB per cell
# - ρ: 10.61 Mg/m³
# - Formation energy without anion corrections: 0.242 eV per atom
# - Calculated volume: 91 Å³ per cell
# - Final energy: -7.79 eV per atom
# - DOS(E_F): 5.4 states/eV/cell
data_LaTa2Se
_space_group_name_H-M_alt 'P 1'
_space_group_IT_number 1
_space_group_name_Hall 'P 1'
_cell_length_a 5.8487
_cell_length_b 5.8487
_cell_length_c 5.8487
_cell_angle_alpha 146.84
_cell_angle_beta 122.79
_cell_angle_gamma 67.75
loop_
_atom_site_label
_atom_site_fract_x
_atom_site_fract_y
_atom_site_fract_z
_atom_site_occupancy
Ta1 0.0123 0.0123 0.0000 1
La1 0.4871 0.4871 0.0000 1
Se1 0.2186 0.7186 0.5000 1
Ta2 0.7820 0.2820 0.5000 1

[5]
# Ac5Mg2Sn4 | the Alexandria database | PBE | optimized geometry
# - Total magnetization: 0.00 μB per cell
# - ρ: 6.85 Mg/m³
# - Calculated volume: 402 Å³ per cell
# - Final energy: -3.99 eV per atom
# - E_form: -0.3802 eV per atom
# - DOS(E_F): 9.6 states/eV/cell
data_Ac5Mg2Sn4
_space_group_name_H-M_alt 'P 1'
_space_group_IT_number 1
_space_group_name_Hall 'P 1'
_cell_length_a 4.5425
_cell_length_b 8.3278
_cell_length_c 11.6456
_cell_angle_alpha 111.13
_cell_angle_beta 101.25
_cell_angle_gamma 90.00
loop_
_atom_site_label
_atom_site_fract_x
_atom_site_fract_y
_atom_site_fract_z
_atom_site_occupancy
Ac1 0.5000 0.0000 0.0000 1
Mg1 0.4287 0.4302 0.8575 1
Ac2 0.8388 0.0691 0.6777 1
Mg2 0.5713 0.5698 0.1425 1
Ac3 0.1612 0.9309 0.3223 1
Sn1 0.2924 0.2927 0.5848 1
Sn2 0.9999 0.6868 0.9998 1
Ac4 0.8388 0.6100 0.6776 1
Ac5 0.1612 0.3900 0.3224 1
Sn3 0.7076 0.7073 0.4152 1
Sn4 0.0001 0.3132 0.0002 1

[6]
# La6Dy5Er2 | the Alexandria database | PBE | optimized geometry
# - Total magnetization: 0.00 μB per cell
# - ρ: 7.31 Mg/m³
# - Calculated volume: 899 Å³ per cell
# - Final energy: -4.63 eV per atom
# - E_form: 0.1116 eV per atom
# - DOS(E_F): 35.4 states/eV/cell
data_La6Dy5Er2
_space_group_name_H-M_alt 'P 1'
_space_group_IT_number 1
_space_group_name_Hall 'P 1'
_cell_length_a 3.6452
_cell_length_b 11.7736
_cell_length_c 20.9587
_cell_angle_alpha 90.00
_cell_angle_beta 90.00
_cell_angle_gamma 90.00
loop_
_atom_site_label
_atom_site_fract_x
_atom_site_fract_y
_atom_site_fract_z
_atom_site_occupancy
Dy1 0.5000 0.3019 0.4423 1
La1 0.0000 0.9165 0.6327 1
La2 0.0000 0.4387 0.5807 1
La3 0.0000 0.5835 0.1327 1
Dy2 0.5000 0.9051 0.7726 1
La4 0.5000 0.3283 0.1367 1
La5 0.0000 0.0613 0.0807 1
Dy3 0.5000 0.5000 0.0000 1
Er1 0.0000 0.8368 0.2088 1
La6 0.0000 0.0835 0.3673 1
Dy4 0.5000 0.0949 0.2274 1
Dy5 0.5000 0.4051 0.7274 1
La7 0.0000 0.5613 0.4193 1
Dy6 0.5000 0.0000 0.5000 1
La8 0.5000 0.6717 0.8633 1
Er2 0.0000 0.1632 0.7912 1
Dy7 0.5000 0.6981 0.5577 1
Dy8 0.5000 0.8019 0.0577 1
La9 0.0000 0.4165 0.8673 1
La10 0.5000 0.1717 0.6367 1
La11 0.0000 0.9387 0.9193 1
Dy9 0.5000 0.5949 0.2726 1
La12 0.5000 0.8283 0.3633 1
Er3 0.0000 0.3368 0.2912 1
Er4 0.0000 0.6632 0.7088 1
Dy10 0.5000 0.1981 0.9423 1

[7]
# HgHPt2Rh | the Alexandria database | PBE | optimized geometry
# - Total magnetization: 0.00 μB per cell
# - ρ: 16.86 Mg/m³
# - Calculated volume: 68 Å³ per cell
# - Final energy: -4.54 eV per atom
# - DOS(E_F): 5.6 states/eV/cell
data_HgHPt2Rh
_space_group_name_H-M_alt 'P 1'
_space_group_IT_number 1
_space_group_name_Hall 'P 1'
_cell_length_a 4.0674
_cell_length_b 4.0674
_cell_length_c 4.1348
_cell_angle_alpha 90.00
_cell_angle_beta 90.00
_cell_angle_gamma 90.00
loop_
_atom_site_label
_atom_site_fract_x
_atom_site_fract_y
_atom_site_fract_z
_atom_site_occupancy
Pt1 0.5000 0.0000 0.0000 1
Hg1 0.5000 0.5000 0.5000 1
H1 0.0000 0.0000 0.0000 1
Pt2 0.0000 0.5000 0.0000 1
Rh1 0.0000 0.0000 0.5000 1

[8]
# K8CdAg2O | the Alexandria database | PBE | optimized geometry
# - Total magnetization: 0.00 μB per cell
# - ρ: 2.09 Mg/m³
# - Formation energy without anion corrections: -0.226 eV per atom
# - Calculated volume: 521 Å³ per cell
# - Final energy: -1.92 eV per atom
# - DOS(E_F): 5.8 states/eV/cell
data_K8CdAg2O
_space_group_name_H-M_alt 'P 1'
_space_group_IT_number 1
_space_group_name_Hall 'P 1'
_cell_length_a 7.8504
_cell_length_b 7.3742
_cell_length_c 9.2370
_cell_angle_alpha 78.01
_cell_angle_beta 90.08
_cell_angle_gamma 85.56
loop_
_atom_site_label
_atom_site_fract_x
_atom_site_fract_y
_atom_site_fract_z
_atom_site_occupancy
K1 0.2032 0.8038 0.8504 1
K2 0.5875 0.7315 0.4812 1
K3 0.9596 0.2966 0.7753 1
K4 0.7313 0.8704 0.8976 1
Cd1 0.0000 0.0000 0.5000 1
K5 0.7968 0.1962 0.1496 1
K6 0.4125 0.2685 0.5188 1
K7 0.2687 0.1296 0.1024 1
O1 0.0000 0.0000 0.0000 1
Ag1 0.4810 0.5594 0.1396 1
K8 0.0404 0.7034 0.2247 1
Ag2 0.5190 0.4406 0.8604 1

[9]
# Ba5Sr4In4 | the Alexandria database | PBE | optimized geometry
# - Total magnetization: 0.00 μB per cell
# - ρ: 4.33 Mg/m³
# - Calculated volume: 574 Å³ per cell
# - Final energy: -2.38 eV per atom
# - E_form: -0.2846 eV per atom
# - DOS(E_F): 19.3 states/eV/cell
data_Ba5Sr4In4
_space_group_name_H-M_alt 'P 1'
_space_group_IT_number 1
_space_group_name_Hall 'P 1'
_cell_length_a 5.7799
_cell_length_b 10.3771
_cell_length_c 10.3771
_cell_angle_alpha 85.55
_cell_angle_beta 73.83
_cell_angle_gamma 73.83
loop_
_atom_site_label
_atom_site_fract_x
_atom_site_fract_y
_atom_site_fract_z
_atom_site_occupancy
In1 0.2463 0.6678 0.8396 1
Sr1 0.6084 0.2809 0.5024 1
Ba1 0.6148 0.6946 0.0757 1
Sr2 0.3916 0.7191 0.4976 1
Ba2 0.0000 0.0000 0.0000 1
Sr3 0.1107 0.4976 0.2809 1
In2 0.9141 0.8396 0.3322 1
Ba3 0.3852 0.3054 0.9243 1
Ba4 0.6905 0.9243 0.6946 1
In3 0.0859 0.1604 0.6678 1
Sr4 0.8893 0.5024 0.7191 1
In4 0.7537 0.3322 0.1604 1
Ba5 0.3095 0.0757 0.3054 1

- Number 7 is which compound?
  HgHPt2Rh

- Among the records above, which one has the lowest DOS(E_F)?
  LaTa2Se